[1]
Computed, not measured: a relaxed structure of PmSm2S4 at the GGA-PBE level of DFT.

abc: 8.078 8.093 11.248
angles: 90.00 90.00 90.00
Space group Imma (No. 74)
Unique sites:
Pm 0.250 0.250 0.250 x4
Sm 0.000 0.000 0.000 x4
Sm 0.250 0.250 0.750 x4
S 0.000 0.001 0.749 x8
S 0.239 0.250 0.999 x8

* distance to the lowest polymorph of the same formula: 0.002 eV/atom
* raw formation energy: -197.2 kJ per mole of atoms
* electronic total energy: -6.43 eV per atom
* spin magnetization: 0.0 μB per cell

---

[2]
Computed, not measured: a relaxed structure of PmSm4S7 at the GGA-PBE level of DFT.

abc: 13.236 3.908 11.842
angles: 90.00 104.78 90.00
Space group Cm (No. 8)
Unique sites:
Pm 0.000 0.000 0.000 x2
Sm 0.112 0.000 0.421 x2
Sm 0.223 0.000 0.841 x2
Sm 0.312 0.500 0.232 x2
Sm 0.412 0.000 0.610 x2
S 0.069 0.000 0.636 x2
S 0.112 0.500 0.919 x2
S 0.155 0.000 0.206 x2
S 0.271 0.500 0.472 x2
S 0.351 0.500 0.772 x2
S 0.370 0.000 0.069 x2
S 0.453 0.000 0.370 x2

* raw formation energy: -198.7 kJ per mole of atoms
* electronic total energy: -6.44 eV per atom
* spin magnetization: 0.0 μB per cell

---

[3]
Computed, not measured: a relaxed structure of PmSm5S6 at the GGA-PBE level of DFT.

abc: 6.948 12.068 6.942
angles: 90.00 109.68 90.00
Space group C2/m (No. 12)
Unique sites:
Pm 0.000 0.000 0.000 x2
Sm 0.000 0.166 0.500 x4
Sm 0.000 0.333 0.000 x4
Sm 0.000 0.500 0.500 x2
S 0.249 0.333 0.749 x8
S 0.249 0.500 0.250 x4

* raw formation energy: -195.8 kJ per mole of atoms
* electronic total energy: -6.45 eV per atom
* spin magnetization: 0.0 μB per cell

---

[4]
Computed, not measured: a relaxed structure of PmSm3S6 at the GGA-PBE level of DFT.

abc: 11.245 4.059 11.542
angles: 90.00 108.31 90.00
Space group P2_1/m (No. 11)
Unique sites:
Pm 0.045 0.250 0.190 x2
Sm 0.161 0.250 0.584 x2
Sm 0.318 0.750 0.996 x2
Sm 0.433 0.250 0.331 x2
S 0.083 0.750 0.401 x2
S 0.112 0.250 0.962 x2
S 0.190 0.750 0.749 x2
S 0.255 0.750 0.223 x2
S 0.400 0.250 0.564 x2
S 0.477 0.250 0.112 x2

* raw formation energy: -198.4 kJ per mole of atoms
* electronic total energy: -6.42 eV per atom
* spin magnetization: 0.0 μB per cell

---

[5]
Computed, not measured: a relaxed structure of PmSmS2 at the GGA-PBE level of DFT.

abc: 3.9778 3.9778 13.4715
angles: 90.00 90.00 120.00
Space group P6_3/mmc (No. 194)
Unique sites:
Pm 0.3333 0.6667 0.2500 x2
Sm 0.0000 0.0000 0.0000 x2
S 0.3333 0.6667 0.6221 x4

* distance to the lowest polymorph of the same formula: 0.014 eV/atom
* raw formation energy: -194.6 kJ per mole of atoms
* electronic total energy: -6.45 eV per atom
* spin magnetization: 0.0 μB per cell

---

[6]
Computed, not measured: a relaxed structure of Pm6Sm2S3 at the GGA-PBE level of DFT.

abc: 3.8551 3.8551 75.4619
angles: 90.00 90.00 120.00
Space group R-3m (No. 166, hexagonal axes)
Unique sites:
Pm 0.0000 0.0000 0.0688 x6
Pm 0.0000 0.0000 0.1860 x6
Pm 0.0000 0.0000 0.3570 x6
Sm 0.0000 0.0000 0.4425 x6
S 0.0000 0.0000 0.0000 x3
S 0.0000 0.0000 0.2872 x6

* raw formation energy: -100.7 kJ per mole of atoms
* electronic total energy: -5.62 eV per atom
* spin magnetization: 0.0 μB per cell

---

[7]
Computed, not measured: a relaxed structure of Pm2Sm3S6 at the GGA-PBE level of DFT.

abc: 6.969 12.031 6.929
angles: 90.00 109.49 90.00
Space group C2/m (No. 12)
Unique sites:
Pm 0.000 0.166 0.000 x4
Sm 0.000 0.000 0.500 x2
Sm 0.000 0.338 0.500 x4
S 0.248 0.167 0.746 x8
S 0.250 0.000 0.248 x4

* raw formation energy: -199.2 kJ per mole of atoms
* electronic total energy: -6.47 eV per atom
* spin magnetization: 0.0 μB per cell

---

[8]
Computed, not measured: a relaxed structure of PmSm4S4 at the GGA-PBE level of DFT.

abc: 8.930 8.930 5.640
angles: 90.00 90.00 90.00
Space group I4/m (No. 87)
Unique sites:
Pm 0.000 0.000 0.000 x2
Sm 0.104 0.696 0.500 x8
S 0.100 0.698 0.000 x8

* raw formation energy: -172.5 kJ per mole of atoms
* electronic total energy: -6.25 eV per atom
* spin magnetization: 0.0 μB per cell

---

[9]
Computed, not measured: a relaxed structure of Pm4SmS4 at the GGA-PBE level of DFT.

abc: 8.944 8.944 5.686
angles: 90.00 90.00 90.00
Space group I4/m (No. 87)
Unique sites:
Pm 0.103 0.696 0.000 x8
Sm 0.000 0.000 0.500 x2
S 0.099 0.700 0.500 x8

* raw formation energy: -172.7 kJ per mole of atoms
* electronic total energy: -6.26 eV per atom
* spin magnetization: 0.0 μB per cell

---

[10]
Computed, not measured: a relaxed structure of PmSmS3 at the GGA-PBE level of DFT.

abc: 7.364 10.405 6.766
angles: 90.00 90.00 90.00
Space group Pnma (No. 62)
Unique sites:
Pm 0.000 0.000 0.000 x4
Sm 0.091 0.250 0.457 x4
S 0.071 0.750 0.162 x4
S 0.187 0.588 0.679 x8

* distance to the lowest polymorph of the same formula: 0.085 eV/atom
* raw formation energy: -192.0 kJ per mole of atoms
* electronic total energy: -6.36 eV per atom
* spin magnetization: 0.0 μB per cell

---

[11]
Computed, not measured: a relaxed structure of PmSmS3 at the GGA-PBE level of DFT.

abc: 7.451 4.012 15.526
angles: 90.00 90.00 90.00
Space group Pnma (No. 62)
Unique sites:
Pm 0.144 0.250 0.204 x4
Sm 0.235 0.750 0.456 x4
S 0.010 0.250 0.392 x4
S 0.125 0.750 0.067 x4
S 0.147 0.250 0.782 x4

* distance to the lowest polymorph of the same formula: 0.000 eV/atom
* raw formation energy: -200.2 kJ per mole of atoms
* electronic total energy: -6.45 eV per atom
* spin magnetization: 0.0 μB per cell

---

[12]
Computed, not measured: a relaxed structure of Pm3SmS6 at the GGA-PBE level of DFT.

abc: 11.275 4.070 11.577
angles: 90.00 108.19 90.00
Space group P2_1/m (No. 11)
Unique sites:
Pm 0.069 0.250 0.169 x2
Pm 0.182 0.750 0.505 x2
Pm 0.339 0.250 0.917 x2
Sm 0.456 0.250 0.312 x2
S 0.023 0.250 0.388 x2
S 0.099 0.250 0.934 x2
S 0.248 0.750 0.278 x2
S 0.312 0.750 0.751 x2
S 0.390 0.250 0.538 x2
S 0.417 0.750 0.100 x2

* distance to the lowest polymorph of the same formula: 0.000 eV/atom
* raw formation energy: -197.4 kJ per mole of atoms
* electronic total energy: -6.42 eV per atom
* spin magnetization: 0.0 μB per cell

---

[13]
Computed, not measured: a relaxed structure of PmSm2S at the GGA-PBE level of DFT.

abc: 3.7609 3.7609 30.7543
angles: 90.00 90.00 120.00
Space group R-3m (No. 166, hexagonal axes)
Unique sites:
Pm 0.0000 0.0000 0.0000 x3
Sm 0.0000 0.0000 0.1123 x6
S 0.0000 0.0000 0.5000 x3

* raw formation energy: -71.7 kJ per mole of atoms
* electronic total energy: -5.32 eV per atom
* spin magnetization: 2.3 μB per cell

---

[14]
Computed, not measured: a relaxed structure of PmSm3S4 at the GGA-PBE level of DFT.

abc: 5.675 5.675 11.369
angles: 90.00 90.00 90.00
Space group I4/mmm (No. 139)
Unique sites:
Pm 0.000 0.000 0.000 x2
Sm 0.000 0.000 0.500 x2
Sm 0.000 0.500 0.250 x4
S 0.000 0.000 0.251 x4
S 0.000 0.500 0.000 x4

* distance to the lowest polymorph of the same formula: 0.000 eV/atom
* raw formation energy: -195.3 kJ per mole of atoms
* electronic total energy: -6.45 eV per atom
* spin magnetization: 0.0 μB per cell

---

[15]
Computed, not measured: a relaxed structure of PmSmS2 at the GGA-PBE level of DFT.

abc: 3.9435 3.9435 20.8092
angles: 90.00 90.00 120.00
Space group R3m (No. 160, hexagonal axes)
Unique sites:
Pm 0.0000 0.0000 0.0000 x3
Sm 0.0000 0.0000 0.1781 x3
S 0.0000 0.0000 0.5871 x3
S 0.0000 0.0000 0.7572 x3

* distance to the lowest polymorph of the same formula: 0.044 eV/atom
* raw formation energy: -191.7 kJ per mole of atoms
* electronic total energy: -6.42 eV per atom
* spin magnetization: 0.0 μB per cell

---

[16]
Computed, not measured: a relaxed structure of Sr3Pm3SmS8 at the GGA-PBE level of DFT.

abc: 8.1831 8.1831 20.7223
angles: 90.00 90.00 120.00
Space group R-3m (No. 166, hexagonal axes)
Unique sites:
Sr 0.0000 0.5000 0.0000 x9
Pm 0.0000 0.5000 0.5000 x9
Sm 0.0000 0.0000 0.5000 x3
S 0.0000 0.0000 0.2458 x6
S 0.0039 0.5020 0.2432 x18

* raw formation energy: -200.2 kJ per mole of atoms
* electronic total energy: -5.88 eV per atom
* spin magnetization: 0.0 μB per cell

---

[17]
Computed, not measured: a relaxed structure of SrPmSm4S8 at the GGA-PBE level of DFT.

abc: 8.3265 8.3265 20.4333
angles: 90.00 90.00 120.00
Space group R3m (No. 160, hexagonal axes)
Unique sites:
Sr 0.0000 0.0000 0.0000 x3
Pm 0.0000 0.0000 0.3731 x3
Sm 0.0000 0.0000 0.7498 x3
Sm 0.0047 0.5024 0.8754 x9
S 0.0000 0.0000 0.1378 x3
S 0.0000 0.0000 0.6170 x3
S 0.0197 0.5099 0.1278 x9
S 0.1835 0.3670 0.9534 x9

* raw formation energy: -191.0 kJ per mole of atoms
* electronic total energy: -6.15 eV per atom
* spin magnetization: 0.0 μB per cell

---

[18]
Computed, not measured: a relaxed structure of TbPm4SmS8 at the GGA-PBE level of DFT.

abc: 8.2547 8.2547 20.1359
angles: 90.00 90.00 120.00
Space group R3m (No. 160, hexagonal axes)
Unique sites:
Tb 0.0000 0.0000 0.0000 x3
Pm 0.0000 0.0000 0.6241 x3
Pm 0.9997 0.4998 0.4998 x9
Sm 0.0000 0.0000 0.3755 x3
S 0.0000 0.0000 0.2434 x3
S 0.0000 0.0000 0.7568 x3
S 0.0235 0.5117 0.7502 x9
S 0.1793 0.3586 0.5827 x9

* raw formation energy: -185.4 kJ per mole of atoms
* electronic total energy: -6.31 eV per atom
* spin magnetization: 0.0 μB per cell

---

[19]
Computed, not measured: a relaxed structure of Tb2PmSm3S6 at the GGA-PBE level of DFT.

abc: 6.890 11.977 6.905
angles: 90.00 109.48 90.00
Space group C2/m (No. 12)
Unique sites:
Tb 0.000 0.166 0.000 x4
Pm 0.000 0.500 0.000 x2
Sm 0.000 0.000 0.500 x2
Sm 0.000 0.336 0.500 x4
S 0.242 0.000 0.244 x4
S 0.248 0.170 0.754 x8

* raw formation energy: -195.3 kJ per mole of atoms
* electronic total energy: -6.44 eV per atom
* spin magnetization: 0.0 μB per cell

---

[20]
Computed, not measured: a relaxed structure of TbPmSmS3 at the GGA-PBE level of DFT.

abc: 6.908 3.908 10.386
angles: 90.00 102.42 90.00
Space group P2_1/m (No. 11)
Unique sites:
Tb 0.126 0.250 0.129 x2
Pm 0.341 0.250 0.805 x2
Sm 0.234 0.750 0.445 x2
S 0.056 0.750 0.662 x2
S 0.280 0.750 0.998 x2
S 0.454 0.250 0.331 x2

* raw formation energy: -187.0 kJ per mole of atoms
* electronic total energy: -6.35 eV per atom
* spin magnetization: 0.0 μB per cell